Entry 1:
A relaxed structure of Dy6Cu2Hg. Source: Alexandria via LeMat-Bulk, functional PBE.

Summary:
Calculated volume: 25.96 Å³ per atom
Size of the total moment: 0.000 μB per atom
Fermi-level density of states: 17.47 states/eV per cell
Energy relative to the elements: -0.217 eV per atom

abc: 8.4755 8.4755 8.4755
angles: 112.42 109.79 106.26
Positions (direct):
1 Dy 0.0464 0.2411 0.8052
2 Dy 0.1829 0.2825 0.4654
3 Dy 0.1829 0.7175 0.9004
4 Dy 0.3231 0.0191 0.6960
5 Dy 0.3231 0.6271 0.3040
6 Dy 0.4359 0.2411 0.1948
7 Dy 0.5641 0.7589 0.8052
8 Dy 0.6769 0.3729 0.6960
9 Dy 0.6769 0.9809 0.3040
10 Dy 0.8171 0.2825 0.0996
11 Dy 0.8171 0.7175 0.5346
12 Dy 0.9536 0.7589 0.1948
13 Cu 0.1200 0.6200 0.5000
14 Cu 0.3532 0.0000 0.3532
15 Cu 0.6468 0.0000 0.6468
16 Cu 0.8800 0.3800 0.5000
17 Hg 0.0000 0.0000 0.0000
18 Hg 0.5000 0.5000 0.0000



Entry 2:
A relaxed structure of NdThSb. Source: Alexandria via LeMat-Bulk, functional PBE.

Summary:
Calculated volume: 31.28 Å³ per atom
Size of the total moment: 0.000 μB per atom
Uncorrected formation energy: -0.72 eV per atom
Fermi-level density of states: 7.17 states/eV per cell

abc: 4.5582 4.5582 9.0320
angles: 90.00 90.00 90.00
Positions (direct):
1 Nd 0.2500 0.2500 0.1389
2 Nd 0.7500 0.7500 0.8611
3 Th 0.2500 0.7500 0.5000
4 Th 0.7500 0.2500 0.5000
5 Sb 0.2500 0.2500 0.7787
6 Sb 0.7500 0.7500 0.2213



Entry 3:
A relaxed structure of K4NaBr2. Source: Alexandria via LeMat-Bulk, functional PBE.

Summary:
Calculated volume: 56.05 Å³ per atom
Size of the total moment: 0.000 μB per atom
Uncorrected formation energy: -0.68 eV per atom
Fermi-level density of states: 3.11 states/eV per cell

abc: 10.0323 10.0323 10.0323
angles: 141.26 141.26 55.94
Positions (direct):
1 K 0.0000 0.5000 0.5000
2 K 0.2191 0.2191 0.0000
3 K 0.5000 0.0000 0.5000
4 K 0.7809 0.7809 0.0000
5 Na 0.0000 0.0000 0.0000
6 Br 0.3935 0.3935 0.0000
7 Br 0.6065 0.6065 0.0000



Entry 4:
A relaxed structure of Ac2TlRe2N6. Source: Alexandria via LeMat-Bulk, functional PBE.

Summary:
Calculated volume: 21.90 Å³ per atom
Size of the total moment: 0.000 μB per atom
Uncorrected formation energy: -0.44 eV per atom
Fermi-level density of states: 3.79 states/eV per cell

abc: 6.3584 6.9141 7.0633
angles: 97.90 116.06 112.06
Positions (direct):
1 Ac 0.1144 0.2238 0.3250
2 Ac 0.8856 0.7762 0.6750
3 Tl 0.5000 0.5000 0.0000
4 Re 0.2860 0.8226 0.3309
5 Re 0.7140 0.1774 0.6691
6 N 0.0260 0.7790 0.3915
7 N 0.2369 0.9283 0.1065
8 N 0.3779 0.5985 0.3319
9 N 0.6221 0.4015 0.6681
10 N 0.7631 0.0717 0.8935
11 N 0.9740 0.2210 0.6085



Entry 5:
A relaxed structure of YMgPb6. Source: Alexandria via LeMat-Bulk, functional PBE.

Summary:
Calculated volume: 29.12 Å³ per atom
Size of the total moment: 0.000 μB per atom
Fermi-level density of states: 4.10 states/eV per cell
Energy relative to the elements: -0.134 eV per atom

abc: 4.7801 4.7801 10.1971
angles: 90.00 90.00 90.00
Positions (direct):
1 Y 0.0000 0.0000 0.0000
2 Mg 0.0000 0.0000 0.5000
3 Pb 0.0000 0.5000 0.2526
4 Pb 0.0000 0.5000 0.7474
5 Pb 0.5000 0.0000 0.2526
6 Pb 0.5000 0.0000 0.7474
7 Pb 0.5000 0.5000 0.0000
8 Pb 0.5000 0.5000 0.5000



Entry 6:
A relaxed structure of Sb4Se5. Source: Alexandria via LeMat-Bulk, functional PBE.

Summary:
Calculated volume: 26.17 Å³ per atom
Size of the total moment: 0.000 μB per atom
Uncorrected formation energy: 0.01 eV per atom
Fermi-level density of states: 11.70 states/eV per cell
Polymorph energy (0 for the lowest one): 0.0 meV per atom

abc: 8.5307 8.5307 7.4752
angles: 90.00 90.00 120.00
Positions (direct):
1 Sb 0.0000 0.0000 0.0000
2 Sb 0.0000 0.0000 0.5000
3 Sb 0.0000 0.4287 0.2500
4 Sb 0.0000 0.5713 0.7500
5 Sb 0.4287 0.0000 0.2500
6 Sb 0.4287 0.4287 0.7500
7 Sb 0.5713 0.0000 0.7500
8 Sb 0.5713 0.5713 0.2500
9 Se 0.0000 0.2493 0.7500
10 Se 0.0000 0.7507 0.2500
11 Se 0.2493 0.0000 0.7500
12 Se 0.2493 0.2493 0.2500
13 Se 0.3333 0.6667 0.0000
14 Se 0.3333 0.6667 0.5000
15 Se 0.6667 0.3333 0.0000
16 Se 0.6667 0.3333 0.5000
17 Se 0.7507 0.0000 0.2500
18 Se 0.7507 0.7507 0.7500



Entry 7:
A relaxed structure of BaCuGe2. Source: Alexandria via LeMat-Bulk, functional PBE.

Summary:
Calculated volume: 23.68 Å³ per atom
Size of the total moment: 0.000 μB per atom
Fermi-level density of states: 1.51 states/eV per cell
Energy relative to the elements: -0.331 eV per atom

abc: 6.6250 6.6250 6.6250
angles: 37.08 37.08 37.08
Positions (direct):
1 Ba 0.0000 0.0000 0.0000
2 Cu 0.5000 0.5000 0.5000
3 Ge 0.2096 0.2096 0.2096
4 Ge 0.7904 0.7904 0.7904



Entry 8:
A relaxed structure of TmCuPd3. Source: Alexandria via LeMat-Bulk, functional PBE.

Summary:
Calculated volume: 17.79 Å³ per atom
Size of the total moment: 0.000 μB per atom
Fermi-level density of states: 4.48 states/eV per cell
Polymorph energy (0 for the lowest one): 85.5 meV per atom
Energy relative to the elements: -0.434 eV per atom

abc: 11.9517 11.9517 11.9517
angles: 161.84 160.45 26.80
Positions (direct):
1 Tm 0.3435 0.0935 0.2500
2 Tm 0.6565 0.9065 0.7500
3 Cu 0.1134 0.3634 0.7500
4 Cu 0.8866 0.6366 0.2500
5 Pd 0.0428 0.7928 0.2500
6 Pd 0.2166 0.4666 0.7500
7 Pd 0.4533 0.7033 0.7500
8 Pd 0.5467 0.2967 0.2500
9 Pd 0.7834 0.5334 0.2500
10 Pd 0.9572 0.2072 0.7500